(1)
Compound: Li2Pm2SmBi2
Source: Alexandria via LeMat-Bulk
Functional: GGA-PBE
Structure: relaxed

Unit cell a=9.5573 b=9.5573 c=9.5573 alpha=29.81 beta=29.81 gamma=29.81
With the nearest neighbours (Å) after each atom.
Positions (direct):
Li (0.0922, 0.0922, 0.0922)  3 Bi 2.85
Li (0.9078, 0.9078, 0.9078)  3 Bi 2.85
Pm (0.3697, 0.3697, 0.3697)  3 Li 3.22, 3 Bi 3.32, 3 Pm 3.47, 1 Sm 3.57
Pm (0.6303, 0.6303, 0.6303)  3 Li 3.22, 3 Bi 3.32, 3 Pm 3.47, 1 Sm 3.57
Sm (0.5000, 0.5000, 0.5000)  6 Bi 3.39, 6 Li 3.50, 2 Pm 3.57
Bi (0.2341, 0.2341, 0.2341)  3 Li 2.85
Bi (0.7659, 0.7659, 0.7659)  3 Li 2.85

Values from the calculation:
**Energy**: -28.904 eV per cell
**Formation enthalpy at 0 K**: -0.442 eV per atom
**D(E_F)**: 5.24 states/eV/f.u.

***

(2)
Compound: LiPmSmBi
Source: Alexandria via LeMat-Bulk
Functional: GGA-PBE
Structure: relaxed

Unit cell a=7.6424 b=7.6424 c=7.6424 alpha=90.00 beta=90.00 gamma=90.00
With the nearest neighbours (Å) after each atom.
Positions (direct):
Li (0.0000, 0.0000, 0.0000)  4 Pm 3.31, 4 Sm 3.31
Li (0.0000, 0.5000, 0.5000)  4 Sm 3.31, 4 Pm 3.31
Li (0.5000, 0.0000, 0.5000)  4 Sm 3.31, 4 Pm 3.31
Li (0.5000, 0.5000, 0.0000)  4 Sm 3.31, 4 Pm 3.31
Pm (0.2500, 0.2500, 0.2500)  4 Li 3.31, 4 Bi 3.31
Pm (0.2500, 0.7500, 0.7500)  4 Li 3.31, 4 Bi 3.31
Pm (0.7500, 0.2500, 0.7500)  4 Li 3.31, 4 Bi 3.31
Pm (0.7500, 0.7500, 0.2500)  4 Li 3.31, 4 Bi 3.31
Sm (0.2500, 0.2500, 0.7500)  4 Li 3.31, 4 Bi 3.31
Sm (0.2500, 0.7500, 0.2500)  4 Li 3.31, 4 Bi 3.31
Sm (0.7500, 0.2500, 0.2500)  4 Li 3.31, 4 Bi 3.31
Sm (0.7500, 0.7500, 0.7500)  4 Li 3.31, 4 Bi 3.31
Bi (0.0000, 0.0000, 0.5000)  4 Pm 3.31, 4 Sm 3.31
Bi (0.0000, 0.5000, 0.0000)  4 Pm 3.31, 4 Sm 3.31
Bi (0.5000, 0.0000, 0.0000)  4 Pm 3.31, 4 Sm 3.31
Bi (0.5000, 0.5000, 0.5000)  4 Pm 3.31, 4 Sm 3.31

Values from the calculation:
**Energy**: -66.970 eV per cell
**Formation enthalpy at 0 K**: -0.369 eV per atom
**D(E_F)**: 3.79 states/eV/f.u.

***

(3)
Compound: LiPmSnBi
Source: Alexandria via LeMat-Bulk
Functional: GGA-PBE
Structure: relaxed

Unit cell a=7.5869 b=7.5869 c=7.5869 alpha=90.00 beta=90.00 gamma=90.00
With the nearest neighbours (Å) after each atom.
Positions (direct):
Li (0.0000, 0.0000, 0.0000)  4 Sn 3.29, 4 Bi 3.29
Li (0.0000, 0.5000, 0.5000)  4 Sn 3.29, 4 Bi 3.29
Li (0.5000, 0.0000, 0.5000)  4 Sn 3.29, 4 Bi 3.29
Li (0.5000, 0.5000, 0.0000)  4 Sn 3.29, 4 Bi 3.29
Pm (0.0000, 0.0000, 0.5000)  4 Sn 3.29, 4 Bi 3.29
Pm (0.0000, 0.5000, 0.0000)  4 Sn 3.29, 4 Bi 3.29
Pm (0.5000, 0.0000, 0.0000)  4 Sn 3.29, 4 Bi 3.29
Pm (0.5000, 0.5000, 0.5000)  4 Sn 3.29, 4 Bi 3.29
Sn (0.2500, 0.2500, 0.7500)  4 Li 3.29, 4 Pm 3.29
Sn (0.2500, 0.7500, 0.2500)  4 Li 3.29, 4 Pm 3.29
Sn (0.7500, 0.2500, 0.2500)  4 Li 3.29, 4 Pm 3.29
Sn (0.7500, 0.7500, 0.7500)  4 Li 3.29, 4 Pm 3.29
Bi (0.2500, 0.2500, 0.2500)  4 Li 3.29, 4 Pm 3.29
Bi (0.2500, 0.7500, 0.7500)  4 Li 3.29, 4 Pm 3.29
Bi (0.7500, 0.2500, 0.7500)  4 Li 3.29, 4 Pm 3.29
Bi (0.7500, 0.7500, 0.2500)  4 Li 3.29, 4 Pm 3.29

Values from the calculation:
**Energy**: -64.851 eV per cell
**Formation enthalpy at 0 K**: -0.416 eV per atom
**D(E_F)**: 3.37 states/eV/f.u.

***

(4)
Compound: Li2TbPm2Bi2
Source: Alexandria via LeMat-Bulk
Functional: GGA-PBE
Structure: relaxed

Unit cell a=9.4642 b=9.4642 c=9.4642 alpha=30.08 beta=30.08 gamma=30.08
With the nearest neighbours (Å) after each atom.
Positions (direct):
Li (0.0950, 0.0950, 0.0950)  3 Bi 2.84
Li (0.9050, 0.9050, 0.9050)  3 Bi 2.84
Tb (0.5000, 0.5000, 0.5000)  6 Bi 3.35, 6 Li 3.44, 2 Pm 3.51
Pm (0.3704, 0.3704, 0.3704)  3 Li 3.24, 3 Bi 3.32, 3 Pm 3.47, 1 Tb 3.51
Pm (0.6296, 0.6296, 0.6296)  3 Li 3.24, 3 Bi 3.32, 3 Pm 3.47, 1 Tb 3.51
Bi (0.2324, 0.2324, 0.2324)  3 Li 2.84
Bi (0.7676, 0.7676, 0.7676)  3 Li 2.84

Values from the calculation:
**Energy**: -28.697 eV per cell
**Formation enthalpy at 0 K**: -0.425 eV per atom
**D(E_F)**: 5.01 states/eV/f.u.

***

(5)
Compound: LiPmTlBi
Source: Alexandria via LeMat-Bulk
Functional: GGA-PBE
Structure: relaxed

Unit cell a=7.6207 b=7.6207 c=7.6207 alpha=90.00 beta=90.00 gamma=90.00
With the nearest neighbours (Å) after each atom.
Positions (direct):
Li (0.0000, 0.0000, 0.0000)  4 Bi 3.30, 4 Tl 3.30
Li (0.0000, 0.5000, 0.5000)  4 Bi 3.30, 4 Tl 3.30
Li (0.5000, 0.0000, 0.5000)  4 Bi 3.30, 4 Tl 3.30
Li (0.5000, 0.5000, 0.0000)  4 Bi 3.30, 4 Tl 3.30
Pm (0.0000, 0.0000, 0.5000)  4 Tl 3.30, 4 Bi 3.30
Pm (0.0000, 0.5000, 0.0000)  4 Tl 3.30, 4 Bi 3.30
Pm (0.5000, 0.0000, 0.0000)  4 Tl 3.30, 4 Bi 3.30
Pm (0.5000, 0.5000, 0.5000)  4 Tl 3.30, 4 Bi 3.30
Tl (0.2500, 0.2500, 0.7500)  4 Li 3.30, 4 Pm 3.30
Tl (0.2500, 0.7500, 0.2500)  4 Li 3.30, 4 Pm 3.30
Tl (0.7500, 0.2500, 0.2500)  4 Li 3.30, 4 Pm 3.30
Tl (0.7500, 0.7500, 0.7500)  4 Li 3.30, 4 Pm 3.30
Bi (0.2500, 0.2500, 0.2500)  4 Pm 3.30, 4 Li 3.30
Bi (0.2500, 0.7500, 0.7500)  4 Li 3.30, 4 Pm 3.30
Bi (0.7500, 0.2500, 0.7500)  4 Li 3.30, 4 Pm 3.30
Bi (0.7500, 0.7500, 0.2500)  4 Li 3.30, 4 Pm 3.30

Values from the calculation:
**Energy**: -57.601 eV per cell
**Formation enthalpy at 0 K**: -0.372 eV per atom
**D(E_F)**: 2.24 states/eV/f.u.

***

(6)
Compound: LiPmTmBi
Source: Alexandria via LeMat-Bulk
Functional: GGA-PBE
Structure: relaxed

Unit cell a=7.5550 b=7.5550 c=7.5550 alpha=90.00 beta=90.00 gamma=90.00
With the nearest neighbours (Å) after each atom.
Positions (direct):
Li (0.0000, 0.0000, 0.0000)  4 Pm 3.27, 4 Tm 3.27
Li (0.0000, 0.5000, 0.5000)  4 Pm 3.27, 4 Tm 3.27
Li (0.5000, 0.0000, 0.5000)  4 Pm 3.27, 4 Tm 3.27
Li (0.5000, 0.5000, 0.0000)  4 Pm 3.27, 4 Tm 3.27
Pm (0.2500, 0.2500, 0.2500)  4 Li 3.27, 4 Bi 3.27
Pm (0.2500, 0.7500, 0.7500)  4 Li 3.27, 4 Bi 3.27
Pm (0.7500, 0.2500, 0.7500)  4 Li 3.27, 4 Bi 3.27
Pm (0.7500, 0.7500, 0.2500)  4 Li 3.27, 4 Bi 3.27
Tm (0.2500, 0.2500, 0.7500)  4 Li 3.27, 4 Bi 3.27
Tm (0.2500, 0.7500, 0.2500)  4 Li 3.27, 4 Bi 3.27
Tm (0.7500, 0.2500, 0.2500)  4 Li 3.27, 4 Bi 3.27
Tm (0.7500, 0.7500, 0.7500)  4 Bi 3.27, 4 Li 3.27
Bi (0.0000, 0.0000, 0.5000)  4 Pm 3.27, 4 Tm 3.27
Bi (0.0000, 0.5000, 0.0000)  4 Pm 3.27, 4 Tm 3.27
Bi (0.5000, 0.0000, 0.0000)  4 Pm 3.27, 4 Tm 3.27
Bi (0.5000, 0.5000, 0.5000)  4 Tm 3.27, 4 Pm 3.27

Values from the calculation:
**Energy**: -64.766 eV per cell
**Formation enthalpy at 0 K**: -0.294 eV per atom
**D(E_F)**: 4.37 states/eV/f.u.